Below is a relaxed structure of YHoGa4Ni2, with properties calculated at the GGA-PBE level.

abc: 6.683 5.454 5.454
angles: 44.23 90.00 90.00
Positions (direct):
Y: 0.000 0.000 0.000
Ho: 0.500 0.859 0.859
Ga: 0.196 0.284 0.284
Ga: 0.304 0.576 0.576
Ga: 0.696 0.576 0.576
Ga: 0.804 0.284 0.284
Ni: 0.000 0.718 0.718
Ni: 0.500 0.141 0.141

Output
size of the total moment: 0.000 Bohr magnetons per cell
space group: Amm2, No. 38
E: -4.9442 eV per atom